No. 1
# Rb2GaIrO4

Crystalline Rb2GaIrO4 at its relaxed geometry (PBE, Alexandria).

Results
- E_form (uncorrected) (eV/atom) = -1.125
- space group = No. 70
- DOS(E_F) (states/eV/atom) = 0.109
- VASP energy (eV per cell) = -85.32

abc: 11.457 10.010 6.962
angles: 82.83 60.10 37.08
Positions (direct):
Rb 0.053 0.053 0.697
Rb 0.303 0.303 0.947
Rb 0.697 0.697 0.053
Rb 0.947 0.947 0.303
Ga 0.375 0.375 0.375
Ga 0.625 0.625 0.625
Ir 0.125 0.125 0.125
Ir 0.875 0.875 0.875
O 0.015 0.662 0.569
O 0.253 0.569 0.662
O 0.338 0.985 0.747
O 0.431 0.747 0.985
O 0.569 0.253 0.015
O 0.662 0.015 0.253
O 0.747 0.431 0.338
O 0.985 0.338 0.431



No. 2
# TlSb2Cl8

Crystalline TlSb2Cl8 at its relaxed geometry (PBE, Alexandria).

Results
- polymorph energy (0 for the lowest one) (kJ per mole of atoms) = 3.3
- E_form (uncorrected) (eV/atom) = -0.734
- space group = No. 12
- DOS(E_F) (states/eV/atom) = 0.130
- VASP energy (eV per cell) = -33.46

abc: 8.021 8.021 5.298
angles: 90.08 90.08 113.83
Positions (direct):
Tl 0.000 0.000 0.000
Sb 0.285 0.715 0.500
Sb 0.715 0.285 0.500
Cl 0.050 0.321 0.501
Cl 0.250 0.750 0.000
Cl 0.321 0.050 0.501
Cl 0.500 0.500 0.248
Cl 0.500 0.500 0.752
Cl 0.679 0.950 0.499
Cl 0.750 0.250 0.000
Cl 0.950 0.679 0.499